--- w ---
Ca4SbAs | PBE | relaxed

The space group is F-43m (No. 216) and the conventional cell measures 8.953, 8.953 and 8.953 Å, with angles of 90.00, 90.00 and 90.00 degrees. The distinct sites, in fractional coordinates, are Ca at (0.125, 0.125, 0.125), Sb at (0.250, 0.250, 0.750) and As at (0.000, 0.000, 0.500).

The value obtained for the density of states at the Fermi level is 4.50 states/eV/cell. The value obtained for the volume is 718 Å³ per cell.

---

--- x ---
Ca4SbAs | PBE | relaxed

The space group is P4/mmm (No. 123) and the conventional cell measures 5.086, 5.086 and 7.254 Å, with angles of 90.00, 90.00 and 90.00 degrees. The distinct sites, in fractional coordinates, are Ca at (0.000, 0.500, 0.236), Sb at (0.000, 0.000, 0.500) and As at (0.500, 0.500, 0.000).

The value obtained for the density of states at the Fermi level is 2.96 states/eV/cell. The value obtained for the volume is 188 Å³ per cell.

---

x wins, 0.857 eV/atom ahead of the next structure.

---

--- w ---
Ca3SbAs | PBE | relaxed

The space group is Pm-3m (No. 221) and the conventional cell measures 5.491, 5.491 and 5.491 Å, with angles of 90.00, 90.00 and 90.00 degrees. The distinct sites, in fractional coordinates, are Ca at (0.000, 0.000, 0.500), Sb at (0.500, 0.500, 0.500) and As at (0.000, 0.000, 0.000).

The value obtained for the density of states at the Fermi level is 0.00 states/eV/cell. The value obtained for the volume is 166 Å³ per cell.

---

--- x ---
Ca3SbAs | PBE | relaxed

The space group is Pmmn (No. 59, origin choice 2) and the conventional cell measures 4.563, 7.262 and 9.152 Å, with angles of 90.00, 90.00 and 90.00 degrees. The distinct sites, in fractional coordinates, are Ca at (0.250, 0.012, 0.163), Ca at (0.250, 0.250, 0.570), Sb at (0.250, 0.750, 0.652) and As at (0.250, 0.250, 0.894).

The value obtained for the volume is 303 Å³ per cell.

---

x wins, 0.174 eV/atom ahead of the next structure.

---

--- w ---
CaSb2TeAs | PBE | relaxed

The space group is P4/mmm (No. 123) and the conventional cell measures 5.776, 5.776 and 5.613 Å, with angles of 90.00, 90.00 and 90.00 degrees. The distinct sites, in fractional coordinates, are Ca at (0.000, 0.000, 0.000), Sb at (0.000, 0.500, 0.000), Te at (0.000, 0.000, 0.500) and As at (0.500, 0.500, 0.500).

The value obtained for the density of states at the Fermi level is 5.44 states/eV/cell. The value obtained for the volume is 187 Å³ per cell.

---

--- x ---
CaSb2TeAs | PBE | relaxed

The space group is P4/mmm (No. 123) and the conventional cell measures 5.339, 5.339 and 5.654 Å, with angles of 90.00, 90.00 and 90.00 degrees. The distinct sites, in fractional coordinates, are Ca at (0.000, 0.000, 0.000), Sb at (0.000, 0.500, 0.500), Te at (0.500, 0.500, 0.000) and As at (0.500, 0.500, 0.500).

The value obtained for the density of states at the Fermi level is 4.32 states/eV/cell. The value obtained for the volume is 161 Å³ per cell.

---

x wins, 0.751 eV/atom ahead of the next structure.

---

--- w ---
CaScAs2 | PBE | relaxed

The space group is I-4m2 (No. 119) and the conventional cell measures 4.037, 4.037 and 10.528 Å, with angles of 90.00, 90.00 and 90.00 degrees. The distinct sites, in fractional coordinates, are Ca at (0.000, 0.000, 0.000), Sc at (0.000, 0.500, 0.750), As at (0.000, 0.000, 0.500) and As at (0.000, 0.500, 0.250).

The value obtained for the density of states at the Fermi level is 2.98 states/eV/cell. The value obtained for the volume is 172 Å³ per cell.

---

--- x ---
CaScAs2 | PBE | relaxed

The space group is F-43m (No. 216) and the conventional cell measures 7.012, 7.012 and 7.012 Å, with angles of 90.00, 90.00 and 90.00 degrees. The distinct sites, in fractional coordinates, are Ca at (0.000, 0.000, 0.000), Sc at (0.250, 0.250, 0.750), As at (0.000, 0.000, 0.500) and As at (0.250, 0.250, 0.250).

The value obtained for the density of states at the Fermi level is 15.04 states/eV/cell. The value obtained for the volume is 345 Å³ per cell.

---

w wins, 0.660 eV/atom ahead of the next structure.

---

--- w ---
CaScAs2 | PBE | relaxed

The space group is P4/mmm (No. 123) and the conventional cell measures 4.044, 4.044 and 5.710 Å, with angles of 90.00, 90.00 and 90.00 degrees. The distinct sites, in fractional coordinates, are Ca at (0.000, 0.000, 0.000), Sc at (0.500, 0.500, 0.500), As at (0.000, 0.000, 0.500) and As at (0.500, 0.500, 0.000).

The value obtained for the density of states at the Fermi level is 3.24 states/eV/cell. The value obtained for the volume is 93 Å³ per cell.

---

--- x ---
CaScAs2 | PBE | relaxed

The space group is Cm (No. 8) and the conventional cell measures 10.789, 3.896 and 4.232 Å, with angles of 90.00, 96.65 and 90.00 degrees. The distinct sites, in fractional coordinates, are Ca at (0.000, 0.000, 0.000), Sc at (0.244, 0.500, 0.503), As at (0.265, 0.000, 0.018) and As at (0.479, 0.000, 0.489).

The value obtained for the density of states at the Fermi level is 4.17 states/eV/cell. The value obtained for the volume is 177 Å³ per cell.

---

--- y ---
CaScAs2 | PBE | relaxed

The space group is P2/m (No. 10) and the conventional cell measures 3.226, 3.688 and 7.441 Å, with angles of 90.00, 100.37 and 90.00 degrees. The distinct sites, in fractional coordinates, are Ca at (0.000, 0.000, 0.000), Sc at (0.000, 0.000, 0.500) and As at (0.455, 0.500, 0.731).

The value obtained for the density of states at the Fermi level is 1.51 states/eV/cell. The value obtained for the volume is 87 Å³ per cell.

---

--- z ---
CaScAs2 | PBE | relaxed

The space group is Fm-3m (No. 225) and the conventional cell measures 7.017, 7.017 and 7.017 Å, with angles of 90.00, 90.00 and 90.00 degrees. The distinct sites, in fractional coordinates, are Ca at (0.000, 0.000, 0.000), Sc at (0.000, 0.000, 0.500) and As at (0.250, 0.250, 0.250).

The value obtained for the density of states at the Fermi level is 10.56 states/eV/cell. The value obtained for the volume is 345 Å³ per cell.

---

w wins, 0.057 eV/atom ahead of the next structure.

---

--- w ---
CaScAs2 | PBE | relaxed

The space group is Cmmm (No. 65) and the conventional cell measures 4.304, 5.430 and 7.537 Å, with angles of 90.00, 90.00 and 90.00 degrees. The distinct sites, in fractional coordinates, are Ca at (0.000, 0.000, 0.000), Sc at (0.000, 0.000, 0.500) and As at (0.000, 0.500, 0.272).

The value obtained for the density of states at the Fermi level is 2.86 states/eV/cell. The value obtained for the volume is 176 Å³ per cell.

---

--- x ---
CaScAs2 | PBE | relaxed

The space group is C2/m (No. 12) and the conventional cell measures 6.907, 4.007 and 7.199 Å, with angles of 90.00, 108.81 and 90.00 degrees. The distinct sites, in fractional coordinates, are Ca at (0.000, 0.000, 0.000), Sc at (0.000, 0.500, 0.500) and As at (0.241, 0.000, 0.722).

The value obtained for the density of states at the Fermi level is 4.89 states/eV/cell. The value obtained for the volume is 189 Å³ per cell.

---

--- y ---
CaScAs2 | PBE | relaxed

The space group is R3m (No. 160, hexagonal axes) and the conventional cell measures 3.6050, 3.6050 and 26.8206 Å, with angles of 90.00, 90.00 and 120.00 degrees. The distinct sites, in fractional coordinates, are Ca at (0.0000, 0.0000, 0.0000), Sc at (0.0000, 0.0000, 0.2199), As at (0.0000, 0.0000, 0.4834) and As at (0.0000, 0.0000, 0.7524).

The value obtained for the density of states at the Fermi level is 8.72 states/eV/cell. The value obtained for the volume is 302 Å³ per cell.

---

x wins, 0.177 eV/atom ahead of the next structure.

---

--- w ---
CaScAs2 | PBE | relaxed

The space group is I-42d (No. 122) and the conventional cell measures 5.875, 5.875 and 14.663 Å, with angles of 90.00, 90.00 and 90.00 degrees. The distinct sites, in fractional coordinates, are Ca at (0.000, 0.000, 0.000), Sc at (0.000, 0.000, 0.500) and As at (0.196, 0.250, 0.625).

The value obtained for the density of states at the Fermi level is 17.99 states/eV/cell. The value obtained for the volume is 506 Å³ per cell.

---

--- x ---
CaScAs2 | PBE | relaxed

The space group is R3m (No. 160, hexagonal axes) and the conventional cell measures 4.0008, 4.0008 and 20.7291 Å, with angles of 90.00, 90.00 and 120.00 degrees. The distinct sites, in fractional coordinates, are Ca at (0.0000, 0.0000, 0.0000), Sc at (0.0000, 0.0000, 0.1726), As at (0.0000, 0.0000, 0.5763) and As at (0.0000, 0.0000, 0.7638).

The value obtained for the density of states at the Fermi level is 7.31 states/eV/cell. The value obtained for the volume is 287 Å³ per cell.

---

x wins, 0.414 eV/atom ahead of the next structure.

---

--- w ---
CaScAsSe2 | PBE | relaxed

The space group is P4/mmm (No. 123) and the conventional cell measures 5.168, 5.168 and 5.095 Å, with angles of 90.00, 90.00 and 90.00 degrees. The distinct sites, in fractional coordinates, are Ca at (0.000, 0.000, 0.000), Sc at (0.500, 0.500, 0.500), As at (0.500, 0.500, 0.000) and Se at (0.000, 0.500, 0.500).

The value obtained for the density of states at the Fermi level is 4.62 states/eV/cell. The value obtained for the volume is 136 Å³ per cell.

---

--- x ---
CaScAsSe2 | PBE | relaxed

The space group is P4/mmm (No. 123) and the conventional cell measures 5.280, 5.280 and 5.207 Å, with angles of 90.00, 90.00 and 90.00 degrees. The distinct sites, in fractional coordinates, are Ca at (0.000, 0.000, 0.000), Sc at (0.500, 0.500, 0.500), As at (0.000, 0.000, 0.500) and Se at (0.000, 0.500, 0.000).

The value obtained for the density of states at the Fermi level is 4.57 states/eV/cell. The value obtained for the volume is 145 Å³ per cell.

---

w wins, 0.871 eV/atom ahead of the next structure.

---

--- w ---
Ca4As2Se | PBE | relaxed

The space group is I4/mmm (No. 139) and the conventional cell measures 5.252, 5.252 and 15.587 Å, with angles of 90.00, 90.00 and 90.00 degrees. The distinct sites, in fractional coordinates, are Ca at (0.000, 0.000, 0.188), Ca at (0.000, 0.500, 0.000), As at (0.000, 0.000, 0.371) and Se at (0.000, 0.000, 0.000).

The value obtained for the density of states at the Fermi level is 0.00 states/eV/cell. The value obtained for the volume is 430 Å³ per cell.

---

--- x ---
Ca4As2Se | PBE | relaxed

The space group is I4_1/amd (No. 141, origin choice 2) and the conventional cell measures 8.695, 8.695 and 12.283 Å, with angles of 90.00, 90.00 and 90.00 degrees. The distinct sites, in fractional coordinates, are Ca at (0.000, 0.027, 0.263), As at (0.000, 0.000, 0.500) and Se at (0.000, 0.250, 0.875).

The value obtained for the volume is 929 Å³ per cell.

---

x wins, 0.232 eV/atom ahead of the next structure.

---

--- w ---
CaAs3Se | PBE | relaxed

The space group is Pm-3m (No. 221) and the conventional cell measures 5.357, 5.357 and 5.357 Å, with angles of 90.00, 90.00 and 90.00 degrees. The distinct sites, in fractional coordinates, are Ca at (0.000, 0.000, 0.000), As at (0.000, 0.000, 0.500) and Se at (0.500, 0.500, 0.500).

The value obtained for the density of states at the Fermi level is 7.41 states/eV/cell. The value obtained for the volume is 154 Å³ per cell.

---

--- x ---
CaAs3Se | PBE | relaxed

The space group is Pm-3m (No. 221) and the conventional cell measures 5.074, 5.074 and 5.074 Å, with angles of 90.00, 90.00 and 90.00 degrees. The distinct sites, in fractional coordinates, are Ca at (0.000, 0.000, 0.000), As at (0.000, 0.500, 0.500) and Se at (0.500, 0.500, 0.500).

The value obtained for the density of states at the Fermi level is 4.49 states/eV/cell. The value obtained for the volume is 131 Å³ per cell.

---

x wins, 0.809 eV/atom ahead of the next structure.

---

--- w ---
CaTcAs2Se | PBE | relaxed

The space group is P4/mmm (No. 123) and the conventional cell measures 4.662, 4.662 and 5.795 Å, with angles of 90.00, 90.00 and 90.00 degrees. The distinct sites, in fractional coordinates, are Ca at (0.000, 0.000, 0.000), Tc at (0.500, 0.500, 0.500), As at (0.000, 0.500, 0.500) and Se at (0.500, 0.500, 0.000).

The value obtained for the density of states at the Fermi level is 2.20 states/eV/cell. The value obtained for the volume is 126 Å³ per cell.

---

--- x ---
CaTcAs2Se | PBE | relaxed

The space group is P4/mmm (No. 123) and the conventional cell measures 5.270, 5.270 and 5.188 Å, with angles of 90.00, 90.00 and 90.00 degrees. The distinct sites, in fractional coordinates, are Ca at (0.000, 0.000, 0.000), Tc at (0.000, 0.000, 0.500), As at (0.000, 0.500, 0.000) and Se at (0.500, 0.500, 0.500).

The value obtained for the density of states at the Fermi level is 3.71 states/eV/cell. The value obtained for the volume is 144 Å³ per cell.

---

--- y ---
CaTcAs2Se | PBE | relaxed

The space group is P4/mmm (No. 123) and the conventional cell measures 5.193, 5.193 and 5.145 Å, with angles of 90.00, 90.00 and 90.00 degrees. The distinct sites, in fractional coordinates, are Ca at (0.000, 0.000, 0.000), Tc at (0.500, 0.500, 0.500), As at (0.000, 0.500, 0.000) and Se at (0.000, 0.000, 0.500).

The value obtained for the density of states at the Fermi level is 10.20 states/eV/cell. The value obtained for the volume is 139 Å³ per cell.

---

w wins, 1.731 eV/atom ahead of the next structure.

---

--- w ---
CaTlAs2Se | PBE | relaxed

The space group is P4/mmm (No. 123) and the conventional cell measures 5.496, 5.496 and 5.461 Å, with angles of 90.00, 90.00 and 90.00 degrees. The distinct sites, in fractional coordinates, are Ca at (0.000, 0.000, 0.000), Tl at (0.500, 0.500, 0.500), As at (0.000, 0.500, 0.000) and Se at (0.000, 0.000, 0.500).

The value obtained for the density of states at the Fermi level is 5.49 states/eV/cell. The value obtained for the volume is 165 Å³ per cell.

---

--- x ---
CaTlAs2Se | PBE | relaxed

The space group is P4/mmm (No. 123) and the conventional cell measures 5.282, 5.282 and 5.497 Å, with angles of 90.00, 90.00 and 90.00 degrees. The distinct sites, in fractional coordinates, are Ca at (0.000, 0.000, 0.000), Tl at (0.500, 0.500, 0.500), As at (0.000, 0.500, 0.500) and Se at (0.500, 0.500, 0.000).

The value obtained for the density of states at the Fermi level is 6.59 states/eV/cell. The value obtained for the volume is 153 Å³ per cell.

---

w wins, 0.007 eV/atom ahead of the next structure.